VASP calculation (GGA-PBE) on a relaxed Ca3Ac5Tl12 crystal.

It has space group Ia-3d (No. 230), with a = 18.822 Å, b = 18.822 Å, c = 18.822 Å, α = 90.00°, β = 90.00° and γ = 90.00°. The distinct sites, in fractional coordinates, are Ca at (0.000, 0.250, 0.125), Ac at (0.000, 0.000, 0.000), Ac at (0.000, 0.250, 0.375) and Tl at (0.001, 0.080, 0.153).

As for the total moment: 0.00 μB/cell. The value obtained for the formation energy is 67 meV per atom.

=====

VASP calculation (GGA-PBE) on a relaxed TeHSe crystal.

It has space group P-1 (No. 2), with a = 4.152 Å, b = 5.022 Å, c = 7.673 Å, α = 88.62°, β = 74.42° and γ = 65.65°. The distinct sites, in fractional coordinates, are Te at (0.245, 0.271, 0.240), H at (0.346, 0.957, 0.351), Se at (0.000, 0.000, 0.000) and Se at (0.500, 0.500, 0.500).

As for the total moment: 0.00 μB/cell. Its relative energy among the computed polymorphs is 71.1 meV per atom.

=====

VASP calculation (GGA-PBE) on a relaxed Rb3Pr3SnS8 crystal.

It has space group R-3m (No. 166, hexagonal axes), with a = 8.3044 Å, b = 8.3044 Å, c = 23.6385 Å, α = 90.00°, β = 90.00° and γ = 120.00°. The distinct sites, in fractional coordinates, are Rb at (0.0000, 0.5000, 0.0000), Pr at (0.0000, 0.5000, 0.5000), Sn at (0.0000, 0.0000, 0.5000), S at (0.0000, 0.0000, 0.2323) and S at (0.0267, 0.5133, 0.2291).

As for the total moment: 0.00 μB/cell. The calculation puts the formation energy (no corrections) at -1.50 eV/atom.

=====

What is the formula in the third record? Rb3Pr3SnS8